(1)
This record from Alexandria via LeMat-Bulk describes a relaxed Cu2ReCl6 crystal. The functional is PBE.

Output
Crystal system: trigonal
Total magnetic moment in μB/f.u.: 2.99
Formation energy (no corrections) in eV/atom: -0.523
SG: No. 146

a = 6.3831 Å, b = 6.3831 Å, c = 7.3665 Å
α = 64.33°, β = 64.33°, γ = 60.00°
With the nearest neighbours (Å) after each atom.
Sites, in units of the cell vectors:
Cl (0.7085, 0.4069, 0.7775)  1 Cu 2.25, 1 Re 2.39
Cl (0.4069, 0.1071, 0.7775)  1 Cu 2.25, 1 Re 2.39
Cl (0.1071, 0.7085, 0.7775)  1 Cu 2.25, 1 Re 2.39
Cl (0.5615, 0.9587, 0.2223)  1 Cu 2.25, 1 Re 2.39
Cl (0.9587, 0.2575, 0.2223)  1 Cu 2.25, 1 Re 2.39
Cl (0.2575, 0.5615, 0.2223)  1 Cu 2.25, 1 Re 2.39
Re (0.3332, 0.3332, 0.0004)  6 Cl 2.39
Cu (0.7348, 0.7348, 0.7957)  3 Cl 2.25
Cu (0.5975, 0.5975, 0.2076)  3 Cl 2.25



(2)
This record from Alexandria via LeMat-Bulk describes a relaxed CaLaNd6Sm2 crystal. The functional is PBE.

Output
Energy relative to the elements in eV/atom: 0.117
Crystal system: monoclinic
Total magnetic moment in μB/f.u.: 0.00
SG: No. 15

a = 9.8939 Å, b = 9.1642 Å, c = 9.1642 Å
α = 118.77°, β = 93.43°, γ = 93.43°
With the nearest neighbours (Å) after each atom.
Sites, in units of the cell vectors:
Nd (0.3207, 0.9733, 0.4385)  4 Nd 3.31-3.68, 2 Sm 3.56-3.61, 1 La 3.64
Nd (0.9449, 0.8758, 0.2474)  7 Nd 3.49-3.89, 1 Sm 3.56, 1 Ca 3.89
Nd (0.6793, 0.0267, 0.5615)  4 Nd 3.31-3.68, 2 Sm 3.56-3.61, 1 La 3.64
Nd (0.4449, 0.2474, 0.8758)  7 Nd 3.49-3.89, 1 Sm 3.56, 1 Ca 3.89
Nd (0.5551, 0.7526, 0.1242)  7 Nd 3.49-3.89, 1 Sm 3.56, 1 Ca 3.89
Nd (0.3807, 0.5018, 0.2903)  3 Nd 3.31-3.49, 3 Sm 3.39-3.55, 2 La 3.58-3.67
Nd (0.1193, 0.7097, 0.4982)  3 Nd 3.31-3.49, 3 Sm 3.39-3.55, 2 La 3.58-3.67
Nd (0.8807, 0.2903, 0.5018)  3 Nd 3.31-3.49, 3 Sm 3.39-3.55, 2 La 3.58-3.67
Nd (0.0551, 0.1242, 0.7526)  7 Nd 3.49-3.89, 1 Sm 3.56, 1 Ca 3.89
Nd (0.1793, 0.5615, 0.0267)  4 Nd 3.31-3.68, 2 Sm 3.56-3.61, 1 La 3.64
Nd (0.8207, 0.4385, 0.9733)  4 Nd 3.31-3.68, 2 Sm 3.56-3.61, 1 La 3.64
Nd (0.6193, 0.4982, 0.7097)  3 Nd 3.31-3.49, 3 Sm 3.39-3.55, 2 La 3.58-3.67
Sm (0.5438, 0.1921, 0.3022)  6 Nd 3.39-3.61, 2 Ca 3.51-3.52, 1 La 3.76
Sm (0.0438, 0.3022, 0.1921)  6 Nd 3.39-3.61, 2 Ca 3.51-3.52, 1 La 3.76
Sm (0.9562, 0.6978, 0.8079)  6 Nd 3.39-3.61, 2 Ca 3.51-3.52, 1 La 3.76
Sm (0.4562, 0.8079, 0.6978)  6 Nd 3.39-3.61, 2 Ca 3.51-3.52, 1 La 3.76
Ca (0.7500, 0.0276, 0.9724)  4 Sm 3.51-3.52, 4 Nd 3.78-3.89
Ca (0.2500, 0.9724, 0.0276)  4 Sm 3.51-3.52, 4 Nd 3.78-3.89
La (0.7500, 0.5936, 0.4064)  8 Nd 3.58-3.99, 4 Sm 3.76-4.00
La (0.2500, 0.4064, 0.5936)  8 Nd 3.58-3.99, 4 Sm 3.76-4.00



(3)
This record from Alexandria via LeMat-Bulk describes a relaxed Ho2Cu3Au crystal. The functional is PBE.

Output
Energy relative to the elements in eV/atom: -0.413
Crystal system: orthorhombic
Total magnetic moment in μB/f.u.: 0.00
SG: No. 69

a = 5.5739 Å, b = 5.5739 Å, c = 8.3507 Å
α = 105.43°, β = 105.43°, γ = 101.71°
With the nearest neighbours (Å) after each atom.
Sites, in units of the cell vectors:
Cu (0.1615, 0.6778, 0.8393)  2 Cu 2.42-2.43, 1 Au 2.59
Cu (0.3222, 0.8385, 0.1607)  2 Cu 2.42-2.43, 1 Au 2.59
Cu (0.8385, 0.3222, 0.1607)  2 Cu 2.42-2.43, 1 Au 2.59
Cu (0.6778, 0.1615, 0.8393)  2 Cu 2.42-2.43, 1 Au 2.59
Cu (0.8385, 0.8385, 0.6771)  2 Cu 2.42, 1 Au 2.60
Cu (0.1615, 0.1615, 0.3229)  2 Cu 2.42, 1 Au 2.60
Au (0.6672, 0.6672, 0.3343)  3 Cu 2.59-2.60
Au (0.3328, 0.3328, 0.6657)  3 Cu 2.59-2.60
Ho (0.2500, 0.7500, 0.5000)  4 Au 3.06, 8 Cu 3.09-3.11
Ho (0.7516, 0.7516, 0.0000)  10 Cu 2.98-3.10, 2 Au 3.09
Ho (0.2484, 0.2484, 0.0000)  10 Cu 2.98-3.10, 2 Au 3.09
Ho (0.7500, 0.2500, 0.5000)  4 Au 3.06, 8 Cu 3.09-3.11



(4)
This record from Alexandria via LeMat-Bulk describes a relaxed PaNiPt2 crystal. The functional is PBE.

Output
Energy relative to the elements in eV/atom: -0.716
Crystal system: tetragonal
Total magnetic moment in μB/f.u.: 0.32
SG: No. 123

a = 4.2003 Å, b = 4.0571 Å, c = 4.0571 Å
α = 90.00°, β = 90.00°, γ = 90.00°
With the nearest neighbours (Å) after each atom.
Sites, in units of the cell vectors:
Pt (0.0000, 0.5000, 0.0000)  4 Pt 2.87, 4 Pa 2.92, 4 Ni 2.92
Pt (0.0000, 0.0000, 0.5000)  4 Pt 2.87, 4 Pa 2.92, 4 Ni 2.92
Ni (0.5000, 0.5000, 0.5000)  4 Pa 2.87, 8 Pt 2.92
Pa (0.5000, 0.0000, 0.0000)  4 Ni 2.87, 8 Pt 2.92



(5)
This record from Alexandria via LeMat-Bulk describes a relaxed KCr2Cu crystal. The functional is PBE.

Output
Energy relative to the elements in eV/atom: 1.274
Crystal system: tetragonal
Total magnetic moment in μB/f.u.: 9.46
SG: No. 123

a = 4.4331 Å, b = 4.4331 Å, c = 4.4627 Å
α = 90.00°, β = 90.00°, γ = 90.00°
With the nearest neighbours (Å) after each atom.
Sites, in units of the cell vectors:
Cu (0.5000, 0.0000, 0.5000)  4 K 3.13, 8 Cr 3.15
K (0.0000, 0.5000, 0.5000)  4 Cu 3.13, 8 Cr 3.15
Cr (0.0000, 0.0000, 0.0000)  4 Cr 3.13, 4 Cu 3.15, 4 K 3.15
Cr (0.5000, 0.5000, 0.0000)  4 Cr 3.13, 4 Cu 3.15, 4 K 3.15



(6)
This record from Alexandria via LeMat-Bulk describes a relaxed La2Al3Ag6 crystal. The functional is PBE.

Output
Energy relative to the elements in eV/atom: -0.243
Crystal system: hexagonal
Total magnetic moment in μB/f.u.: 0.00
SG: No. 189

a = 4.5026 Å, b = 7.8824 Å, c = 7.8824 Å
α = 120.00°, β = 90.00°, γ = 90.00°
With the nearest neighbours (Å) after each atom.
Sites, in units of the cell vectors:
Al (0.5000, 0.6224, 0.0000)  5 Ag 2.60-2.70
Al (0.5000, 0.0000, 0.6224)  5 Ag 2.60-2.70
Al (0.5000, 0.3776, 0.3776)  5 Ag 2.60-2.70
Ag (0.5000, 0.7077, 0.7077)  3 Al 2.60-2.70
Ag (0.0000, 0.0000, 0.7942)  2 Al 2.63, 2 Ag 2.81
Ag (0.0000, 0.7942, 0.0000)  2 Al 2.63, 2 Ag 2.81
Ag (0.5000, 0.2923, 0.0000)  3 Al 2.60-2.70
Ag (0.0000, 0.2058, 0.2058)  2 Al 2.63, 2 Ag 2.81
Ag (0.5000, 0.0000, 0.2923)  3 Al 2.60-2.70
La (0.0000, 0.3333, 0.6667)  9 Ag 3.25-3.60, 6 Al 3.34
La (0.0000, 0.6667, 0.3333)  9 Ag 3.25-3.60, 6 Al 3.34



(7)
This record from Alexandria via LeMat-Bulk describes a relaxed ReTe3Pb crystal. The functional is PBE.

Output
Crystal system: cubic
Total magnetic moment in μB/f.u.: 0.00
Formation energy (no corrections) in eV/atom: 0.548
SG: No. 221

a = 5.3090 Å, b = 5.3090 Å, c = 5.3090 Å
α = 90.00°, β = 90.00°, γ = 90.00°
With the nearest neighbours (Å) after each atom.
Sites, in units of the cell vectors:
Te (0.0000, 0.5000, 0.0000)  2 Re 2.65
Te (0.0000, 0.0000, 0.5000)  2 Re 2.65
Te (0.5000, 0.0000, 0.0000)  2 Re 2.65
Pb (0.5000, 0.5000, 0.5000)  12 Te 3.75
Re (0.0000, 0.0000, 0.0000)  6 Te 2.65



(8)
This record from Alexandria via LeMat-Bulk describes a relaxed CsRb2AgF crystal. The functional is PBE.

Output
Crystal system: tetragonal
Total magnetic moment in μB/f.u.: 0.00
Formation energy (no corrections) in eV/atom: -0.993
SG: No. 123

a = 5.7242 Å, b = 5.7242 Å, c = 6.1143 Å
α = 90.00°, β = 90.00°, γ = 90.00°
With the nearest neighbours (Å) after each atom.
Sites, in units of the cell vectors:
Cs (0.0000, 0.0000, 0.5000)  2 F 3.06
Rb (0.5000, 0.0000, 0.0000)  2 F 2.86
Rb (0.0000, 0.5000, 0.0000)  2 F 2.86
Ag (0.5000, 0.5000, 0.5000)  4 Cs 4.05, 8 Rb 4.19
F (0.0000, 0.0000, 0.0000)  4 Rb 2.86, 2 Cs 3.06



(9)
This record from Alexandria via LeMat-Bulk describes a relaxed NaTbCe crystal. The functional is PBE.

Output
Energy relative to the elements in eV/atom: 0.445
Crystal system: tetragonal
Total magnetic moment in μB/f.u.: 0.90
SG: No. 129

a = 3.8587 Å, b = 3.8587 Å, c = 13.5487 Å
α = 90.00°, β = 90.00°, γ = 90.00°
With the nearest neighbours (Å) after each atom.
Sites, in units of the cell vectors:
Ce (0.0000, 0.0000, 0.0000)  4 Ce 2.73
Ce (0.5000, 0.5000, 0.0000)  4 Ce 2.73
Na (0.5000, 0.0000, 0.5855)  8 Na 3.58-3.86, 4 Tb 3.75
Na (0.0000, 0.5000, 0.4145)  8 Na 3.58-3.86, 4 Tb 3.75
Tb (0.5000, 0.0000, 0.2247)  4 Ce 3.60, 4 Na 3.75, 4 Tb 3.86
Tb (0.0000, 0.5000, 0.7753)  4 Ce 3.60, 4 Na 3.75, 4 Tb 3.86



(10)
This record from Alexandria via LeMat-Bulk describes a relaxed BeCdI2 crystal. The functional is PBE.

Output
Crystal system: tetragonal
Total magnetic moment in μB/f.u.: 0.00
Formation energy (no corrections) in eV/atom: -0.117
SG: No. 122

a = 7.7541 Å, b = 7.7541 Å, c = 7.3360 Å
α = 58.10°, β = 58.10°, γ = 90.00°
With the nearest neighbours (Å) after each atom.
Sites, in units of the cell vectors:
Cd (0.0000, 0.0000, 0.0000)  4 I 3.76
Cd (0.7500, 0.2500, 0.5000)  4 I 3.76
I (0.3750, 0.5100, 0.7500)  2 Be 2.46
I (0.4900, 0.1250, 0.2500)  2 Be 2.46
I (0.8750, 0.7400, 0.7500)  2 Be 2.46
I (0.2600, 0.6250, 0.2500)  2 Be 2.46
Be (0.5000, 0.5000, 0.0000)  4 I 2.46
Be (0.2500, 0.7500, 0.5000)  4 I 2.46



(11)
This record from Alexandria via LeMat-Bulk describes a relaxed Dy4HgSe2S crystal. The functional is PBE.

Output
Crystal system: monoclinic
Total magnetic moment in μB/f.u.: 0.00
Formation energy (no corrections) in eV/atom: -1.455
SG: No. 10

a = 3.9969 Å, b = 7.1732 Å, c = 7.1806 Å
α = 71.62°, β = 90.00°, γ = 90.00°
With the nearest neighbours (Å) after each atom.
Sites, in units of the cell vectors:
Se (0.5000, 0.0000, 0.5000)  6 Dy 2.95-2.97
Se (0.0000, 0.0000, 0.0000)  6 Dy 2.87-2.90
Dy (0.0000, 0.7396, 0.7624)  2 S 2.83, 3 Se 2.90-2.97, 1 Hg 2.92
Dy (0.5000, 0.7517, 0.2420)  3 Se 2.87-2.95, 1 S 2.87, 2 Hg 2.93
Dy (0.5000, 0.2483, 0.7580)  3 Se 2.87-2.95, 1 S 2.87, 2 Hg 2.93
Dy (0.0000, 0.2604, 0.2376)  2 S 2.83, 3 Se 2.90-2.97, 1 Hg 2.92
S (0.5000, 0.5000, 0.0000)  6 Dy 2.83-2.87
Hg (0.0000, 0.5000, 0.5000)  6 Dy 2.92-2.93



(12)
This record from Alexandria via LeMat-Bulk describes a relaxed Li2YCd crystal. The functional is PBE.

Output
Energy relative to the elements in eV/atom: -0.056
Crystal system: tetragonal
Total magnetic moment in μB/f.u.: 0.21
SG: No. 123

a = 3.5522 Å, b = 3.5522 Å, c = 6.9829 Å
α = 90.00°, β = 90.00°, γ = 90.00°
With the nearest neighbours (Å) after each atom.
Sites, in units of the cell vectors:
Cd (0.5000, 0.5000, 0.7500)  8 Li 2.88
Y (0.5000, 0.5000, 0.2500)  8 Li 3.26, 2 Cd 3.49, 4 Y 3.55
Li (0.0000, 0.0000, 0.9521)  1 Li 2.82, 4 Cd 2.88
Li (0.0000, 0.0000, 0.5479)  1 Li 2.82, 4 Cd 2.88



(13)
This record from Alexandria via LeMat-Bulk describes a relaxed NaMgIn2B crystal. The functional is PBE.

Output
Energy relative to the elements in eV/atom: 0.780
Crystal system: tetragonal
Total magnetic moment in μB/f.u.: 0.00
SG: No. 123

a = 5.5535 Å, b = 4.4470 Å, c = 5.5535 Å
α = 90.00°, β = 90.00°, γ = 90.00°
With the nearest neighbours (Å) after each atom.
Sites, in units of the cell vectors:
Mg (0.0000, 0.0000, 0.0000)  2 B 2.22
In (0.0000, 0.0000, 0.5000)  2 Mg 2.78
In (0.5000, 0.0000, 0.0000)  2 Mg 2.78
B (0.0000, 0.5000, 0.0000)  2 Mg 2.22
Na (0.5000, 0.5000, 0.5000)  8 In 3.56, 4 B 3.93



(14)
This record from Alexandria via LeMat-Bulk describes a relaxed Cd2TeAu crystal. The functional is PBE.

Output
Crystal system: trigonal
Total magnetic moment in μB/f.u.: 0.00
Formation energy (no corrections) in eV/atom: -0.159
SG: No. 164

a = 4.4393 Å, b = 4.4393 Å, c = 6.1332 Å
α = 89.98°, β = 89.98°, γ = 59.97°
With the nearest neighbours (Å) after each atom.
Sites, in units of the cell vectors:
Cd (0.9582, 0.9582, 0.7986)  3 Au 2.84, 3 Te 3.15
Cd (0.2918, 0.2918, 0.2014)  3 Au 2.84-2.85, 3 Te 3.15
Te (0.6249, 0.6249, 0.5000)  2 Au 3.07, 6 Cd 3.15
Au (0.6250, 0.6250, 0.0000)  6 Cd 2.84-2.85, 2 Te 3.07



(15)
This record from Alexandria via LeMat-Bulk describes a relaxed CrFe2Ir crystal. The functional is PBE.

Output
Energy relative to the elements in eV/atom: 0.070
Crystal system: cubic
Total magnetic moment in μB/f.u.: 5.74
SG: No. 225

a = 4.1446 Å, b = 4.1446 Å, c = 4.1446 Å
α = 60.00°, β = 60.00°, γ = 60.00°
With the nearest neighbours (Å) after each atom.
Sites, in units of the cell vectors:
Fe (0.2500, 0.2500, 0.2500)  4 Ir 2.54, 4 Cr 2.54
Fe (0.7500, 0.7500, 0.7500)  4 Cr 2.54, 4 Ir 2.54
Cr (0.0000, 0.0000, 0.0000)  8 Fe 2.54
Ir (0.5000, 0.5000, 0.5000)  8 Fe 2.54



(16)
This record from Alexandria via LeMat-Bulk describes a relaxed KGe2Au crystal. The functional is PBE.

Output
Energy relative to the elements in eV/atom: 0.246
Crystal system: cubic
Total magnetic moment in μB/f.u.: 0.00
SG: No. 225

a = 4.9551 Å, b = 4.9551 Å, c = 4.9551 Å
α = 60.00°, β = 60.00°, γ = 60.00°
With the nearest neighbours (Å) after each atom.
Sites, in units of the cell vectors:
Ge (0.7500, 0.7500, 0.7500)  4 K 3.03, 4 Au 3.03
Ge (0.2500, 0.2500, 0.2500)  4 Au 3.03, 4 K 3.03
K (0.0000, 0.0000, 0.0000)  8 Ge 3.03
Au (0.5000, 0.5000, 0.5000)  8 Ge 3.03



(17)
This record from Alexandria via LeMat-Bulk describes a relaxed MgSiBi2C crystal. The functional is PBE.

Output
Crystal system: tetragonal
Total magnetic moment in μB/f.u.: 0.00
Formation energy (no corrections) in eV/atom: 0.670
SG: No. 123

a = 5.4178 Å, b = 3.6783 Å, c = 5.4178 Å
α = 90.00°, β = 90.00°, γ = 90.00°
With the nearest neighbours (Å) after each atom.
Sites, in units of the cell vectors:
Bi (0.5000, 0.0000, 0.0000)  2 C 2.71
Bi (0.0000, 0.0000, 0.5000)  2 C 2.71
Mg (0.5000, 0.5000, 0.5000)  8 Bi 3.27
Si (0.0000, 0.5000, 0.0000)  2 C 1.84
C (0.0000, 0.0000, 0.0000)  2 Si 1.84



(18)
This record from Alexandria via LeMat-Bulk describes a relaxed LaPmRuAu crystal. The functional is PBE.

Output
Energy relative to the elements in eV/atom: -0.445
Crystal system: cubic
Total magnetic moment in μB/f.u.: 0.00
SG: No. 216

a = 5.1328 Å, b = 5.1328 Å, c = 5.1328 Å
α = 60.00°, β = 60.00°, γ = 60.00°
With the nearest neighbours (Å) after each atom.
Sites, in units of the cell vectors:
Pm (0.0000, 0.0000, 0.0000)  4 Au 3.14, 4 Ru 3.14
Ru (0.7500, 0.7500, 0.7500)  4 La 3.14, 4 Pm 3.14
Au (0.2500, 0.2500, 0.2500)  4 La 3.14, 4 Pm 3.14
La (0.5000, 0.5000, 0.5000)  4 Ru 3.14, 4 Au 3.14



(19)
This record from Alexandria via LeMat-Bulk describes a relaxed NaGdBiSb crystal. The functional is PBE.

Output
Crystal system: cubic
Total magnetic moment in μB/f.u.: 7.39
Formation energy (no corrections) in eV/atom: -0.491
SG: No. 216

a = 5.4600 Å, b = 5.4600 Å, c = 5.4600 Å
α = 60.00°, β = 60.00°, γ = 60.00°
With the nearest neighbours (Å) after each atom.
Sites, in units of the cell vectors:
Gd (0.5000, 0.5000, 0.5000)  4 Bi 3.34, 4 Sb 3.34
Bi (0.7500, 0.7500, 0.7500)  4 Gd 3.34, 4 Na 3.34
Sb (0.2500, 0.2500, 0.2500)  4 Gd 3.34, 4 Na 3.34
Na (0.0000, 0.0000, 0.0000)  4 Sb 3.34, 4 Bi 3.34



(20)
This record from Alexandria via LeMat-Bulk describes a relaxed NbIn3Tc crystal. The functional is PBE.

Output
Energy relative to the elements in eV/atom: 0.992
Crystal system: cubic
Total magnetic moment in μB/f.u.: 3.34
SG: No. 221

a = 5.1083 Å, b = 5.1083 Å, c = 5.1083 Å
α = 90.00°, β = 90.00°, γ = 90.00°
With the nearest neighbours (Å) after each atom.
Sites, in units of the cell vectors:
In (0.0000, 0.0000, 0.5000)  2 Tc 2.55
In (0.0000, 0.5000, 0.0000)  2 Tc 2.55
In (0.5000, 0.0000, 0.0000)  2 Tc 2.55
Nb (0.5000, 0.5000, 0.5000)  12 In 3.61
Tc (0.0000, 0.0000, 0.0000)  6 In 2.55